The following is a DFT calculation (PBE) of a geometry-optimized CdGaRh structure.

Calculated values
formation energy: -0.2873 eV/atom
energy: -4.052 eV per atom
symmetry: No. 107

abc: 3.1981 3.1981 5.4576
angles: 107.04 107.04 90.00
Positions (direct):
Ga  0.3055  0.3055  0.6111
Rh  0.6911  0.6911  0.3822
Cd  0.0034  0.0034  0.0068